[1]
The following is a DFT calculation (PBE-GGA) of a geometry-optimized YMoS2 structure.

a b c (Å): 8.168 8.168 8.168
angles (deg): 27.85 27.85 27.85
Positions (direct):
S: 0.897 0.897 0.897
S: 0.103 0.103 0.103
Mo: 0.000 0.000 0.000
Y: 0.500 0.500 0.500

Summary:
magnetic moment	4.0	μB/f.u.
E	-6.934	eV/atom
SG	R-3m

---

[2]
The following is a DFT calculation (PBE-GGA) of a geometry-optimized MgAl3Rh4 structure.

a b c (Å): 4.272 6.053 8.543
angles (deg): 90.00 90.00 90.00
Positions (direct):
Mg: 0.000 0.500 0.500
Mg: 0.000 0.500 0.000
Rh: 0.500 0.757 0.000
Rh: 0.000 0.757 0.750
Rh: 0.500 0.243 0.000
Rh: 0.500 0.757 0.500
Rh: 0.500 0.243 0.500
Rh: 0.000 0.757 0.250
Rh: 0.000 0.243 0.250
Rh: 0.000 0.243 0.750
Al: 0.500 0.000 0.250
Al: 0.000 0.000 0.000
Al: 0.500 0.500 0.750
Al: 0.000 0.000 0.500
Al: 0.500 0.500 0.250
Al: 0.500 0.000 0.750

Summary:
magnetic moment	0.0	μB/f.u.
formation energy	-1.003	eV/atom
SG	P4/mmm

---

[3]
The following is a DFT calculation (PBE-GGA) of a geometry-optimized LiPm3Nd3Te8 structure.

a b c (Å): 8.919 8.919 8.926
angles (deg): 119.98 90.00 120.00
Positions (direct):
Te: 0.249 0.001 0.254
Te: 0.753 0.001 0.254
Te: 0.247 0.494 0.745
Te: 0.251 0.501 0.252
Te: 0.749 0.499 0.748
Te: 0.247 0.999 0.746
Te: 0.753 0.506 0.255
Te: 0.751 0.999 0.746
Nd: 0.000 0.000 0.000
Nd: 0.000 0.500 0.000
Nd: 0.500 0.500 0.000
Pm: 0.000 0.500 0.500
Pm: 0.500 0.000 0.500
Pm: 0.500 0.500 0.500
Li: 0.000 0.000 0.500

Summary:
magnetic moment	0.0	μB/f.u.
E	-5.103	eV/atom
SG	R-3m

---

[4]
The following is a DFT calculation (PBE-GGA) of a geometry-optimized MgSb2Ru structure.

a b c (Å): 5.512 5.512 5.512
angles (deg): 135.63 135.63 64.56
Positions (direct):
Mg: 0.500 0.500 0.000
Ru: 0.750 0.250 0.500
Sb: 0.250 0.750 0.500
Sb: 0.000 0.000 0.000

Summary:
magnetic moment	0.0	μB/f.u.
E	-4.610	eV/atom
SG	I-4m2

---

Q: What is the magnetic moment in the fourth record?
A: 0.0 μB/f.u.

---

Repeat the second record exactly.
The following is a DFT calculation (PBE-GGA) of a geometry-optimized MgAl3Rh4 structure.

a b c (Å): 4.272 6.053 8.543
angles (deg): 90.00 90.00 90.00
Positions (direct):
Mg: 0.000 0.500 0.500
Mg: 0.000 0.500 0.000
Rh: 0.500 0.757 0.000
Rh: 0.000 0.757 0.750
Rh: 0.500 0.243 0.000
Rh: 0.500 0.757 0.500
Rh: 0.500 0.243 0.500
Rh: 0.000 0.757 0.250
Rh: 0.000 0.243 0.250
Rh: 0.000 0.243 0.750
Al: 0.500 0.000 0.250
Al: 0.000 0.000 0.000
Al: 0.500 0.500 0.750
Al: 0.000 0.000 0.500
Al: 0.500 0.500 0.250
Al: 0.500 0.000 0.750

Summary:
magnetic moment	0.0	μB/f.u.
formation energy	-1.003	eV/atom
SG	P4/mmm